(1)
Here is Pr2Al5Pd4 after structural relaxation from Alexandria via LeMat-Bulk. Energies are from GGA-PBE.

```
11
Lattice="0.0000 4.7783 8.0652 2.7721 0.0000 8.0652 2.7721 4.7783 0.0000" Properties=species:S:1:pos:R:3 pbc="T T T"
Pr 2.7721 4.7783 2.0677
Pr 2.7721 4.7783 14.0627
Al 1.3861 2.3892 0.0000
Al 1.3861 2.3892 4.0326
Al 1.3861 2.3892 8.0652
Al 2.7721 4.7783 8.0652
Al 4.1582 7.1675 12.0978
Pd 2.7721 3.2492 5.9554
Pd 2.7721 3.2492 10.1750
Pd 2.7721 6.3075 5.9554
Pd 2.7721 6.3075 10.1750
```

Summary:
The calculation puts the total magnetic moment at 0.00 μB per atom. The value obtained for the formation energy is -0.82 eV per atom. As for the density of states at the Fermi level: 0.34 states/eV per atom. The value obtained for the total energy is -5.276 eV per atom.


(2)
Here is SrNdSn after structural relaxation from Alexandria via LeMat-Bulk. Energies are from GGA-PBE.

```
3
Lattice="-2.1424 2.1424 5.4739 2.1424 -2.1424 5.4739 2.1424 2.1424 -5.4739" Properties=species:S:1:pos:R:3 pbc="T T T"
Sr 0.0000 0.0000 0.0000
Nd 0.0000 0.0000 3.2677
Sn 0.0000 0.0000 7.3117
```

Summary:
The calculation puts the total magnetic moment at 0.41 μB per atom. The value obtained for the formation energy is -0.33 eV per atom. As for the density of states at the Fermi level: 1.07 states/eV per atom. The value obtained for the total energy is -3.809 eV per atom.


(3)
Here is ZrScRe2 after structural relaxation from Alexandria via LeMat-Bulk. Energies are from GGA-PBE.

```
8
Lattice="-3.7057 3.7057 2.7422 3.7057 -3.7057 2.7422 3.7057 3.7057 -2.7422" Properties=species:S:1:pos:R:3 pbc="T T T"
Zr 0.0000 0.0000 0.0000
Zr 0.0000 3.7057 1.3711
Sc 3.7057 0.0000 1.3711
Sc 0.0000 0.0000 2.7422
Re 1.8528 1.8480 -0.6855
Re 1.8577 -1.8528 3.4277
Re 1.8528 1.8577 2.0566
Re 1.8480 5.5585 0.6855
```

Summary:
The calculation puts the total magnetic moment at 0.00 μB per atom. The value obtained for the formation energy is 0.63 eV per atom. As for the density of states at the Fermi level: 1.25 states/eV per atom. The value obtained for the total energy is -9.312 eV per atom.


(4)
Here is Sc2BeSe after structural relaxation from Alexandria via LeMat-Bulk. Energies are from GGA-PBE.

```
4
Lattice="-1.9524 2.4590 3.7951 1.9524 -2.4590 3.7951 1.9524 2.4590 -3.7951" Properties=species:S:1:pos:R:3 pbc="T T T"
Sc 0.0000 0.0000 1.8678
Sc 0.0000 0.0000 5.7224
Be 0.0000 2.4590 0.0000
Se 1.9524 0.0000 0.0000
```

Summary:
The calculation puts the total magnetic moment at 0.00 μB per atom. The value obtained for the formation energy (no corrections) is -1.6 eV/f.u. As for the density of states at the Fermi level: 0.81 states/eV per atom. The value obtained for the total energy is -5.375 eV per atom.


(5)
Here is Mg5CdPb2 after structural relaxation from Alexandria via LeMat-Bulk. Energies are from GGA-PBE.

```
8
Lattice="6.7811 0.0000 0.0000 0.0000 6.7811 0.0000 0.0000 0.0000 5.0228" Properties=species:S:1:pos:R:3 pbc="T T T"
Mg 0.0000 0.0000 0.0000
Mg 1.9204 1.9204 2.5114
Mg 1.9204 4.8607 2.5114
Mg 4.8607 1.9204 2.5114
Mg 4.8607 4.8607 2.5114
Cd 0.0000 0.0000 2.5114
Pb 0.0000 3.3906 0.0000
Pb 3.3906 0.0000 0.0000
```

Summary:
The calculation puts the total magnetic moment at 0.00 μB per atom. The value obtained for the formation energy is 0.23 eV per atom. As for the density of states at the Fermi level: 0.40 states/eV per atom. The value obtained for the total energy is -1.812 eV per atom.


(6)
Here is TeAuSN2 after structural relaxation from Alexandria via LeMat-Bulk. Energies are from GGA-PBE.

```
5
Lattice="3.6968 0.0000 0.0000 0.0000 3.6968 0.0000 0.0000 0.0000 6.9396" Properties=species:S:1:pos:R:3 pbc="T T T"
Te 0.0000 0.0000 0.0000
Au 1.8484 1.8484 0.0000
S 0.0000 0.0000 3.4698
N 0.0000 1.8484 3.4698
N 1.8484 0.0000 3.4698
```

Summary:
The calculation puts the total magnetic moment at 0.14 μB per atom. The value obtained for the formation energy (no corrections) is 7.8 eV/f.u. As for the density of states at the Fermi level: 0.71 states/eV per atom. The value obtained for the total energy is -3.880 eV per atom.


(7)
Here is LaReBr after structural relaxation from Alexandria via LeMat-Bulk. Energies are from GGA-PBE.

```
3
Lattice="0.0000 3.6059 3.6059 3.6059 0.0000 3.6059 3.6059 3.6059 0.0000" Properties=species:S:1:pos:R:3 pbc="T T T"
La 0.0000 0.0000 0.0000
Re 1.8029 1.8029 1.8029
Br 5.4088 5.4088 5.4088
```

Summary:
The calculation puts the total magnetic moment at 1.00 μB per atom. The value obtained for the formation energy (no corrections) is 2.8 eV/f.u. As for the density of states at the Fermi level: 1.91 states/eV per atom. The value obtained for the total energy is -5.423 eV per atom.


(8)
Here is BaAcF4 after structural relaxation from Alexandria via LeMat-Bulk. Energies are from GGA-PBE.

```
6
Lattice="4.3262 0.0000 0.0000 0.0000 4.3262 0.0000 0.0000 0.0000 6.5707" Properties=species:S:1:pos:R:3 pbc="T T T"
Ba 0.0000 0.0000 0.0000
Ac 2.1631 2.1631 3.2854
F 0.0000 2.1631 1.9449
F 0.0000 2.1631 4.6258
F 2.1631 0.0000 1.9449
F 2.1631 0.0000 4.6258
```

Summary:
The calculation puts the total magnetic moment at 0.13 μB per atom. The value obtained for the formation energy (no corrections) is -22.3 eV/f.u. As for the density of states at the Fermi level: 0.16 states/eV per atom. The value obtained for the total energy is -5.965 eV per atom.


(9)
Here is Pr2DySb3Pd4 after structural relaxation from Alexandria via LeMat-Bulk. Energies are from GGA-PBE.

```
10
Lattice="4.5090 0.0000 0.0000 0.0000 4.5090 0.0000 0.0000 0.0000 11.5921" Properties=species:S:1:pos:R:3 pbc="T T T"
Pr 0.0000 2.2545 2.4638
Pr 2.2545 0.0000 9.1283
Dy 0.0000 0.0000 5.7961
Sb 0.0000 2.2545 10.0741
Sb 2.2545 0.0000 1.5181
Sb 2.2545 2.2545 5.7961
Pd 0.0000 0.0000 0.0000
Pd 0.0000 2.2545 7.4664
Pd 2.2545 0.0000 4.1258
Pd 2.2545 2.2545 0.0000
```

Summary:
The calculation puts the total magnetic moment at 0.00 μB per atom. The value obtained for the formation energy (no corrections) is -9.2 eV/f.u. As for the density of states at the Fermi level: 0.33 states/eV per atom. The value obtained for the total energy is -5.648 eV per atom.


(10)
Here is Zr2Ag4S5 after structural relaxation from Alexandria via LeMat-Bulk. Energies are from GGA-PBE.

```
11
Lattice="1.9383 1.1191 17.7101 -1.9383 1.1191 17.7101 0.0000 -2.2382 17.7101" Properties=species:S:1:pos:R:3 pbc="T T T"
Zr 0.0000 0.0000 7.5264
Zr 0.0000 0.0000 45.6040
Ag 0.0000 0.0000 16.6732
Ag 0.0000 0.0000 22.0960
Ag 0.0000 0.0000 31.0344
Ag 0.0000 0.0000 36.4572
S 0.0000 0.0000 11.7175
S 0.0000 0.0000 19.6726
S 0.0000 0.0000 26.5652
S 0.0000 0.0000 33.4577
S 0.0000 0.0000 41.4129
```

Summary:
The calculation puts the total magnetic moment at 0.00 μB per atom. The value obtained for the formation energy (no corrections) is -5.7 eV/f.u. As for the density of states at the Fermi level: 0.53 states/eV per atom. The value obtained for the total energy is -4.988 eV per atom.


(11)
Here is Ba3Ag2PbO6 after structural relaxation from Alexandria via LeMat-Bulk. Energies are from GGA-PBE.

```
12
Lattice="6.3045 0.0000 0.0000 -3.1523 5.4599 0.0000 0.0000 0.0000 6.8403" Properties=species:S:1:pos:R:3 pbc="T T T"
Ba 0.0000 0.0000 0.0000
Ba 0.0000 3.6399 4.1902
Ba 3.1523 1.8200 2.6502
Ag 0.0000 3.6399 0.8555
Ag 3.1523 1.8200 5.9848
Pb 0.0000 0.0000 3.4202
O 0.0000 1.7977 2.1224
O -1.5954 4.5610 2.1224
O 1.5569 0.8989 4.7179
O 1.5954 4.5610 2.1224
O 4.7477 0.8989 4.7179
O 3.1523 3.6622 4.7179
```

Summary:
The calculation puts the total magnetic moment at 0.00 μB per atom. The value obtained for the formation energy (no corrections) is -16.6 eV/f.u. As for the density of states at the Fermi level: 0.33 states/eV per atom. The value obtained for the total energy is -5.131 eV per atom.


(12)
Here is Pa2CdPd8 after structural relaxation from Alexandria via LeMat-Bulk. Energies are from GGA-PBE.

```
11
Lattice="3.8051 -7.1012 0.0000 3.8051 7.1012 0.0000 -3.4706 0.0000 3.8130" Properties=species:S:1:pos:R:3 pbc="T T T"
Pa 3.8051 4.5030 0.0000
Pa 3.8051 -4.5030 0.0000
Cd 2.0698 0.0000 1.9065
Pd -0.8349 0.0000 0.9704
Pd -0.6647 1.9377 2.9167
Pd 2.0698 2.7480 1.9065
Pd -0.6647 -1.9377 2.9167
Pd 4.8044 1.9377 0.8963
Pd 2.0698 -2.7480 1.9065
Pd 4.8044 -1.9377 0.8963
Pd 4.9746 0.0000 2.8426
```

Summary:
The calculation puts the total magnetic moment at 0.00 μB per atom. The value obtained for the formation energy is -0.51 eV per atom. As for the density of states at the Fermi level: 0.58 states/eV per atom. The value obtained for the total energy is -6.094 eV per atom.


Which calculated density belongs to each record? In order, 6.55 5.79 11.21 4.05 4.66 6.73 7.17 5.95 8.70 5.58 6.57 11.49 g cm⁻³.